[1]
The following is a DFT calculation (SCAN) of a crystal of MnAlSiO5 relaxed with PBEsol.

Cell: 8.039 8.120 5.650 Å, 90.00 90.00 90.00°
Sites, in units of the cell vectors:
Mn: 0.000 0.000 0.244
Mn: 0.000 0.000 0.756
Mn: 0.500 0.500 0.256
Mn: 0.500 0.500 0.744
Al: 0.123 0.364 0.000
Al: 0.377 0.864 0.500
Al: 0.623 0.136 0.500
Al: 0.877 0.636 0.000
Si: 0.250 0.245 0.500
Si: 0.250 0.745 0.000
Si: 0.750 0.255 0.000
Si: 0.750 0.755 0.500
O: 0.072 0.138 0.000
O: 0.074 0.138 0.500
O: 0.105 0.600 0.000
O: 0.248 0.856 0.239
O: 0.248 0.856 0.761
O: 0.252 0.356 0.261
O: 0.252 0.356 0.739
O: 0.395 0.100 0.500
O: 0.426 0.638 0.000
O: 0.428 0.638 0.500
O: 0.572 0.362 0.500
O: 0.574 0.362 0.000
O: 0.605 0.900 0.500
O: 0.748 0.644 0.261
O: 0.748 0.644 0.739
O: 0.752 0.144 0.239
O: 0.752 0.144 0.761
O: 0.895 0.400 0.000
O: 0.926 0.862 0.500
O: 0.928 0.862 0.000

Output
space group	Pnnm
raw formation energy	-2.88	eV/atom

[2]
The following is a DFT calculation (SCAN) of a crystal of Mn3Al2Si3O12 relaxed with PBEsol.

Cell: 10.051 10.051 10.051 Å, 109.47 109.47 109.47°
Sites, in units of the cell vectors:
Mn: 0.125 0.250 0.375
Mn: 0.125 0.375 0.750
Mn: 0.250 0.375 0.125
Mn: 0.250 0.875 0.625
Mn: 0.375 0.125 0.250
Mn: 0.375 0.750 0.125
Mn: 0.625 0.250 0.875
Mn: 0.625 0.875 0.750
Mn: 0.750 0.125 0.375
Mn: 0.750 0.625 0.875
Mn: 0.875 0.625 0.250
Mn: 0.875 0.750 0.625
Al: 0.000 0.000 0.000
Al: 0.000 0.000 0.500
Al: 0.000 0.500 0.000
Al: 0.000 0.500 0.500
Al: 0.500 0.000 0.000
Al: 0.500 0.000 0.500
Al: 0.500 0.500 0.000
Al: 0.500 0.500 0.500
Si: 0.125 0.750 0.875
Si: 0.125 0.875 0.250
Si: 0.250 0.125 0.875
Si: 0.250 0.625 0.375
Si: 0.375 0.250 0.625
Si: 0.375 0.625 0.750
Si: 0.625 0.375 0.250
Si: 0.625 0.750 0.375
Si: 0.750 0.375 0.625
Si: 0.750 0.875 0.125
Si: 0.875 0.125 0.750
Si: 0.875 0.250 0.125
O: 0.014 0.201 0.118
O: 0.014 0.314 0.897
O: 0.083 0.701 0.686
O: 0.083 0.882 0.397
O: 0.103 0.618 0.417
O: 0.103 0.986 0.686
O: 0.118 0.014 0.201
O: 0.118 0.603 0.917
O: 0.186 0.201 0.583
O: 0.186 0.486 0.603
O: 0.201 0.118 0.014
O: 0.201 0.583 0.186
O: 0.299 0.314 0.917
O: 0.299 0.486 0.382
O: 0.314 0.897 0.014
O: 0.314 0.917 0.299
O: 0.382 0.299 0.486
O: 0.382 0.583 0.897
O: 0.397 0.083 0.882
O: 0.397 0.814 0.514
O: 0.417 0.103 0.618
O: 0.417 0.814 0.799
O: 0.486 0.382 0.299
O: 0.486 0.603 0.186
O: 0.514 0.397 0.814
O: 0.514 0.618 0.701
O: 0.583 0.186 0.201
O: 0.583 0.897 0.382
O: 0.603 0.186 0.486
O: 0.603 0.917 0.118
O: 0.618 0.417 0.103
O: 0.618 0.701 0.514
O: 0.686 0.083 0.701
O: 0.686 0.103 0.986
O: 0.701 0.514 0.618
O: 0.701 0.686 0.083
O: 0.799 0.417 0.814
O: 0.799 0.882 0.986
O: 0.814 0.514 0.397
O: 0.814 0.799 0.417
O: 0.882 0.397 0.083
O: 0.882 0.986 0.799
O: 0.897 0.014 0.314
O: 0.897 0.382 0.583
O: 0.917 0.118 0.603
O: 0.917 0.299 0.314
O: 0.986 0.686 0.103
O: 0.986 0.799 0.882

Output
space group	Ia-3d
raw formation energy	-2.85	eV/atom

[3]
The following is a DFT calculation (SCAN) of a crystal of MnAlW2O8 relaxed with PBEsol.

Cell: 4.906 5.459 9.093 Å, 89.14 88.35 88.89°
Sites, in units of the cell vectors:
Mn: 0.243 0.138 0.247
Mn: 0.757 0.862 0.753
Al: 0.236 0.144 0.747
Al: 0.764 0.856 0.253
W: 0.272 0.649 0.505
W: 0.276 0.642 0.005
W: 0.724 0.358 0.995
W: 0.728 0.351 0.495
O: 0.083 0.380 0.109
O: 0.085 0.376 0.610
O: 0.089 0.871 0.141
O: 0.100 0.886 0.634
O: 0.396 0.879 0.869
O: 0.403 0.364 0.869
O: 0.413 0.369 0.370
O: 0.429 0.863 0.368
O: 0.571 0.137 0.632
O: 0.587 0.631 0.630
O: 0.597 0.636 0.131
O: 0.604 0.121 0.131
O: 0.900 0.114 0.366
O: 0.911 0.129 0.859
O: 0.915 0.624 0.390
O: 0.917 0.620 0.891

Output
space group	P-1
raw formation energy	-2.39	eV/atom

[4]
The following is a DFT calculation (SCAN) of a crystal of MnAlOs4 relaxed with PBEsol.

Cell: 5.081 5.081 5.081 Å, 60.00 60.00 60.00°
Sites, in units of the cell vectors:
Mn: 0.000 0.000 0.000
Al: 0.750 0.750 0.750
Os: 0.375 0.375 0.375
Os: 0.375 0.375 0.875
Os: 0.375 0.875 0.375
Os: 0.875 0.375 0.375

Output
calculated formation energy	0.334	eV/atom
space group	F-43m